This record from Alexandria describes ZrIn2Co2 after structural relaxation. The functional is PBE-GGA.

Values from the calculation:
DOS(E_F) = 4.8 states/eV/f.u.
Excess energy over the best structure of this formula in the dataset = 0.141 eV/atom
E_tot = -5.55 eV per atom

Cell: 7.679 7.679 2.889 Å, 90.00 90.00 90.00°
Sites, in units of the cell vectors:
1 Zr 0.000 0.000 0.000
2 Zr 0.500 0.500 0.000
3 In 0.869 0.369 0.000
4 In 0.131 0.631 0.000
5 In 0.369 0.131 0.000
6 In 0.631 0.869 0.000
7 Co 0.669 0.169 0.500
8 Co 0.331 0.831 0.500
9 Co 0.169 0.331 0.500
10 Co 0.831 0.669 0.500



This record from Alexandria describes Zr11In9Co4 after structural relaxation. The functional is PBE-GGA.

Values from the calculation:
DOS(E_F) = 15.4 states/eV/f.u.
E_tot = -6.48 eV per atom

Cell: 3.357 12.482 12.482 Å, 111.99 90.00 90.00°
Sites, in units of the cell vectors:
1 Zr 0.000 0.581 0.922
2 Zr 0.000 0.419 0.078
3 Zr 0.000 0.922 0.581
4 Zr 0.000 0.078 0.419
5 Zr 0.000 0.624 0.376
6 Zr 0.000 0.376 0.624
7 Zr 0.000 0.849 0.151
8 Zr 0.000 0.151 0.849
9 Zr 0.000 0.000 0.000
10 Zr 0.000 0.683 0.683
11 Zr 0.000 0.317 0.317
12 In 0.500 0.636 0.153
13 In 0.500 0.364 0.847
14 In 0.500 0.153 0.636
15 In 0.500 0.847 0.364
16 In 0.500 0.779 0.923
17 In 0.500 0.221 0.077
18 In 0.500 0.923 0.779
19 In 0.500 0.077 0.221
20 In 0.500 0.500 0.500
21 Co 0.500 0.548 0.754
22 Co 0.500 0.452 0.246
23 Co 0.500 0.754 0.548
24 Co 0.500 0.246 0.452



This record from Alexandria describes ZrInCo4 after structural relaxation. The functional is PBE-GGA.

Values from the calculation:
DOS(E_F) = 8.6 states/eV/f.u.
E_tot = -6.81 eV per atom

Cell: 4.888 4.888 4.888 Å, 60.00 60.00 60.00°
Each line ends with the local moment (μB).
Sites, in units of the cell vectors:
1 Co 0.126 0.625 0.625  1.00
2 Co 0.625 0.625 0.625  1.00
3 Co 0.625 0.126 0.625  1.00
4 Co 0.625 0.625 0.126  1.00
5 In 0.250 0.250 0.250  -0.03
6 Zr 0.000 0.000 0.000  -0.28



This record from Alexandria describes ZrInCo after structural relaxation. The functional is PBE-GGA.

Values from the calculation:
DOS(E_F) = 3.3 states/eV/f.u.
E_tot = -6.28 eV per atom

Cell: 4.365 4.360 7.563 Å, 106.80 90.00 120.03°
Sites, in units of the cell vectors:
1 Zr 0.750 0.500 0.250
2 Zr 0.250 0.500 0.750
3 In 0.000 0.000 0.000
4 In 0.500 0.000 0.500
5 Co 0.873 0.746 0.618
6 Co 0.127 0.254 0.382



This record from Alexandria describes Zr4InCo after structural relaxation. The functional is PBE-GGA.

Values from the calculation:
DOS(E_F) = 5.4 states/eV/f.u.
Excess energy over the best structure of this formula in the dataset = 0.000 eV/atom
E_tot = -7.39 eV per atom

Cell: 4.427 6.184 8.843 Å, 141.35 90.00 110.97°
Sites, in units of the cell vectors:
1 Zr 0.339 0.677 0.970
2 Zr 0.125 0.249 0.420
3 Zr 0.661 0.323 0.030
4 Zr 0.875 0.751 0.580
5 In 0.500 0.000 0.500
6 Co 0.000 0.000 0.000



This record from Alexandria describes Zr12InCo6 after structural relaxation. The functional is PBE-GGA.

Values from the calculation:
DOS(E_F) = 18.4 states/eV/f.u.
E_tot = -8.01 eV per atom

Cell: 7.824 7.824 7.824 Å, 109.47 109.47 109.47°
Sites, in units of the cell vectors:
1 Zr 0.300 0.112 0.812
2 Zr 0.300 0.488 0.188
3 Zr 0.700 0.512 0.812
4 Zr 0.700 0.888 0.188
5 Zr 0.112 0.812 0.300
6 Zr 0.488 0.188 0.300
7 Zr 0.512 0.812 0.700
8 Zr 0.888 0.188 0.700
9 Zr 0.812 0.300 0.112
10 Zr 0.188 0.300 0.488
11 Zr 0.812 0.700 0.512
12 Zr 0.188 0.700 0.888
13 In 0.000 0.000 0.000
14 Co 0.365 0.500 0.865
15 Co 0.635 0.500 0.135
16 Co 0.500 0.865 0.365
17 Co 0.500 0.135 0.635
18 Co 0.865 0.365 0.500
19 Co 0.135 0.635 0.500



This record from Alexandria describes ZrIn4Co after structural relaxation. The functional is PBE-GGA.

Values from the calculation:
DOS(E_F) = 9.5 states/eV/f.u.
E_tot = -3.91 eV per atom

Cell: 5.764 5.764 5.764 Å, 60.00 60.00 60.00°
Each line ends with the local moment (μB).
Sites, in units of the cell vectors:
1 Zr 0.750 0.750 0.750  -0.14
2 In 0.875 0.375 0.375  0.02
3 In 0.375 0.375 0.875  0.02
4 In 0.375 0.875 0.375  0.02
5 In 0.375 0.375 0.375  0.02
6 Co 0.000 0.000 0.000  1.78



This record from Alexandria describes ZrInCo after structural relaxation. The functional is PBE-GGA.

Values from the calculation:
DOS(E_F) = 2.9 states/eV/f.u.
E_tot = -6.20 eV per atom

Cell: 4.485 4.485 3.124 Å, 90.00 90.00 120.00°
Sites, in units of the cell vectors:
1 Co 0.000 0.000 0.163
2 In 0.333 0.667 0.168
3 Zr 0.667 0.333 0.668



This record from Alexandria describes ZrInCo after structural relaxation. The functional is PBE-GGA.

Values from the calculation:
DOS(E_F) = 3.5 states/eV/f.u.
E_tot = -5.54 eV per atom

Cell: 4.552 4.552 4.552 Å, 60.00 60.00 60.00°
Each line ends with the local moment (μB).
Sites, in units of the cell vectors:
1 Co 0.000 0.000 0.000  0.95
2 In 0.500 0.500 0.500  -0.02
3 Zr 0.250 0.250 0.250  -0.16



This record from Alexandria describes Zr4InCo2 after structural relaxation. The functional is PBE-GGA.

Values from the calculation:
DOS(E_F) = 6.4 states/eV/f.u.
E_tot = -7.38 eV per atom

Cell: 3.948 3.948 11.105 Å, 79.76 79.76 60.00°
Sites, in units of the cell vectors:
1 Zr 0.700 0.700 0.901
2 Zr 0.896 0.896 0.311
3 Zr 0.300 0.300 0.099
4 Zr 0.104 0.104 0.689
5 In 0.500 0.500 0.500
6 Co 0.599 0.599 0.203
7 Co 0.401 0.401 0.797



This record from Alexandria describes ZrInCo after structural relaxation. The functional is PBE-GGA.

Values from the calculation:
DOS(E_F) = 2.2 states/eV/f.u.
E_tot = -6.31 eV per atom

Cell: 5.947 5.947 3.130 Å, 74.74 74.74 30.52°
Each line ends with the local moment (μB).
Sites, in units of the cell vectors:
1 Co 0.997 0.997 0.003  0.70
2 In 0.647 0.647 0.353  0.00
3 Zr 0.356 0.356 0.644  0.05



This record from Alexandria describes Co7Ir3 after structural relaxation. The functional is PBE-GGA.

Values from the calculation:
DOS(E_F) = 14.7 states/eV/f.u.
Excess energy over the best structure of this formula in the dataset = 0.000 eV/atom
E_tot = -7.60 eV per atom

Cell: 3.645 3.643 9.234 Å, 90.00 101.38 90.00°
Each line ends with the local moment (μB).
Sites, in units of the cell vectors:
1 Co 0.796 0.000 0.592  1.62
2 Co 0.703 0.500 0.407  1.59
3 Co 0.500 0.500 0.999  0.99
4 Co 0.395 0.000 0.790  1.32
5 Co 0.296 0.500 0.592  1.57
6 Co 0.204 0.000 0.409  1.61
7 Co 0.105 0.500 0.210  1.32
8 Ir 0.000 0.000 0.000  0.00
9 Ir 0.896 0.500 0.791  0.22
10 Ir 0.604 0.000 0.208  0.22



no.,formation energy from the elements (meV/atom)
1,100
2,-351
3,-196
4,-150
5,-48
6,-224
7,529
8,-74
9,589
10,-79
11,-176
12,37